Record 1
Computed, not measured: a relaxed structure of Ba2Mg4In3Ag at the PBE level of DFT.

Summary:
Crystal system   tetragonal
Total moment   0.00 μB per formula unit
Energy of formation   -251.8 meV per atom
SG   P-4m2

Unit cell a=5.0470 b=5.0470 c=11.6226 alpha=90.00 beta=90.00 gamma=90.00
Closest atoms and distances in Å follow each position.
Positions (direct):
Ba 0.5000 0.0000 0.2541  6 In 3.81-3.82, 2 Ag 3.81, 9 Mg 3.87-4.21
Ba 0.0000 0.5000 0.7459  6 In 3.81-3.82, 2 Ag 3.81, 9 Mg 3.87-4.21
Mg 0.5000 0.5000 0.0000  4 In 2.98
Mg 0.0000 0.0000 0.0000  4 In 2.98
Mg 0.5000 0.0000 0.6164  2 Ag 2.86, 3 In 2.86-2.88
Mg 0.0000 0.5000 0.3836  2 Ag 2.86, 3 In 2.86-2.88
In 0.0000 0.0000 0.5000  4 Mg 2.86
In 0.5000 0.0000 0.8638  5 Mg 2.88-2.98
In 0.0000 0.5000 0.1362  5 Mg 2.88-2.98
Ag 0.5000 0.5000 0.5000  4 Mg 2.86

Record 2
Computed, not measured: a relaxed structure of BeMoPt at the PBE level of DFT.

Summary:
Crystal system   orthorhombic
Total moment   0.00 μB per formula unit
Energy above the most stable polymorph in this dataset   0.076 eV/atom
Energy of formation   -330.2 meV per atom
SG   Pnma

Unit cell a=5.7114 b=3.0901 c=9.0944 alpha=90.00 beta=90.00 gamma=90.00
Closest atoms and distances in Å follow each position.
Positions (direct):
Be 0.8617 0.2500 0.7354  4 Pt 2.37-2.49, 2 Mo 2.62
Be 0.6383 0.7500 0.2354  4 Pt 2.37-2.49, 2 Mo 2.62
Be 0.1383 0.7500 0.2646  4 Pt 2.37-2.49, 2 Mo 2.62
Be 0.3617 0.2500 0.7646  4 Pt 2.37-2.49, 2 Mo 2.62
Mo 0.8715 0.2500 0.4269  2 Mo 2.51, 5 Be 2.62-2.81, 3 Pt 2.76-2.78
Mo 0.6285 0.7500 0.9269  2 Mo 2.51, 5 Be 2.62-2.81, 3 Pt 2.76-2.78
Mo 0.1285 0.7500 0.5731  2 Mo 2.51, 5 Be 2.62-2.81, 3 Pt 2.76-2.78
Mo 0.3715 0.2500 0.0731  2 Mo 2.51, 5 Be 2.62-2.81, 3 Pt 2.76-2.78
Pt 0.3901 0.2500 0.3830  4 Be 2.37-2.49
Pt 0.1099 0.7500 0.8830  4 Be 2.37-2.49
Pt 0.6099 0.7500 0.6170  4 Be 2.37-2.49
Pt 0.8901 0.2500 0.1170  4 Be 2.37-2.49

Record 3
Computed, not measured: a relaxed structure of Ba2CaTl at the PBE level of DFT.

Summary:
Crystal system   trigonal
Total moment   0.00 μB per formula unit
Energy above the most stable polymorph in this dataset   0.127 eV/atom
Energy of formation   -87.9 meV per atom
SG   R3m

Unit cell a=4.2643 b=4.2643 c=12.5875 alpha=80.25 beta=80.25 gamma=60.00
Closest atoms and distances in Å follow each position.
Positions (direct):
Ba 0.0712 0.0712 0.7865  3 Tl 3.61
Ba 0.2622 0.2622 0.2133  3 Tl 3.60
Ca 0.5000 0.5000 0.4999  6 Ca 4.26, 6 Ba 4.31
Tl 0.6666 0.6666 0.0003  6 Ba 3.60-3.61

Q: What is the formula in the second record?
A: BeMoPt

Q: What is the formula in the second record?
A: BeMoPt

Q: Among the records above, which one has the lowest energy of formation?
A: BeMoPt

Q: Look up the total moment of the third one.
A: 0.00 μB per formula unit